Material: TcNi2Os
Method: DFT, PBE-GGA
State: relaxed

Cell: 2.6513 3.7510 5.1503 Å, 90.00 90.00 90.00°
Fractional coordinates of all 4 atoms:
Ni 0.0000 0.0000 0.0117
Ni 0.5000 0.5000 0.2389
Os 0.0000 0.0000 0.4990
Tc 0.5000 0.5000 0.7504

Space-group type: No. 25
Energy of formation (eV/atom): 0.05
Excess energy over the best structure of this formula in the dataset (meV per atom): 30